VASP calculation (GGA-PBE) on an optimized crystal structure of CeScReAg.

The structure in extended XYZ format:
```
4
Lattice="4.879 0.000 0.000 2.440 4.225 0.000 2.440 1.408 3.984" Properties=species:S:1:pos:R:3 pbc="T T T"
Re 7.319 4.225 2.988
Ag 2.440 1.408 0.996
Sc 4.879 2.817 1.992
Ce 0.000 0.000 0.000
```

Properties
The raw total energy comes out at -27.576 eV for the cell shown. Its crystal system is cubic. The calculation puts the formation energy at -0.011 eV per formula unit. Its space group is F-43m.

VASP calculation (GGA-PBE) on an optimized crystal structure of BaPuS4.

The structure in extended XYZ format:
```
6
Lattice="4.560 0.000 0.000 0.000 4.560 0.000 0.000 0.000 7.552" Properties=species:S:1:pos:R:3 pbc="T T T"
Ba 0.000 0.000 0.000
S 0.000 2.280 5.328
Pu 2.280 2.280 3.776
S 0.000 2.280 2.225
S 2.280 0.000 5.328
S 2.280 0.000 2.225
```

Properties
The raw total energy comes out at -39.830 eV for the cell shown. Its crystal system is tetragonal. The raw formation energy is -1.178 eV per atom. Its space group is P4/mmm.

VASP calculation (GGA-PBE) on an optimized crystal structure of Sc2HgPd.

The structure in extended XYZ format:
```
8
Lattice="7.529 0.000 0.000 0.000 7.529 0.000 3.765 3.765 3.100" Properties=species:S:1:pos:R:3 pbc="T T T"
Hg 0.000 0.000 0.000
Sc 9.412 9.170 2.325
Sc 5.647 5.889 2.325
Hg 7.529 3.765 1.550
Sc 2.124 5.647 0.775
Sc 5.405 1.882 0.775
Pd 3.765 3.765 0.000
Pd 3.765 7.529 1.550
```

Properties
The raw total energy comes out at -38.321 eV for the cell shown. Its crystal system is tetragonal. The calculation puts the formation energy at -1.003 eV per formula unit. Its space group is I-42d.

- Among the records above, which one has the lowest raw total energy?
  BaPuS4